(1)
Compound: TaMn2TlRu
Source: Alexandria via LeMat-Bulk
Functional: PBE
Structure: optimized geometry

Cell: 4.574 4.574 5.339 Å, 90.00 90.00 90.00°
Space group P4/mmm (No. 123)
One atom of each set of equivalent atoms:
Ta1 0.000 0.000 0.000 [1 per cell]
Mn1 0.000 0.500 0.000 [2 per cell]
Tl1 0.000 0.000 0.500 [1 per cell]
Ru1 0.500 0.500 0.500 [1 per cell]



(2)
Compound: TmTaMnRu
Source: Alexandria via LeMat-Bulk
Functional: PBE
Structure: optimized geometry

Cell: 6.424 6.424 6.424 Å, 90.00 90.00 90.00°
Space group F-43m (No. 216)
One atom of each set of equivalent atoms:
Tm1 0.000 0.000 0.000 [4 per cell]
Ta1 0.000 0.000 0.500 [4 per cell]
Mn1 0.250 0.250 0.250 [4 per cell]
Ru1 0.250 0.250 0.750 [4 per cell]



(3)
Compound: ZrTaMnRu
Source: Alexandria via LeMat-Bulk
Functional: PBE
Structure: optimized geometry

Cell: 3.161 3.161 6.405 Å, 90.00 90.00 90.00°
Space group P4mm (No. 99)
One atom of each set of equivalent atoms:
Zr1 0.000 0.000 0.000 [1 per cell]
Ta1 0.000 0.000 0.482 [1 per cell]
Mn1 0.500 0.500 0.256 [1 per cell]
Ru1 0.500 0.500 0.730 [1 per cell]



(4)
Compound: Zr2TaMnRu
Source: Alexandria via LeMat-Bulk
Functional: PBE
Structure: optimized geometry

Cell: 5.086 5.086 4.577 Å, 90.00 90.00 90.00°
Space group P4/mmm (No. 123)
One atom of each set of equivalent atoms:
Zr1 0.000 0.500 0.000 [2 per cell]
Ta1 0.000 0.000 0.000 [1 per cell]
Mn1 0.500 0.500 0.500 [1 per cell]
Ru1 0.000 0.000 0.500 [1 per cell]



(5)
Compound: TbMnRu
Source: Alexandria via LeMat-Bulk
Functional: PBE
Structure: optimized geometry

Cell: 5.3059 5.3059 39.0961 Å, 90.00 90.00 120.00°
Space group R-3m (No. 166, hexagonal axes)
One atom of each set of equivalent atoms:
Tb1 0.0000 0.0000 0.0407 [6 per cell]
Tb2 0.0000 0.0000 0.1804 [6 per cell]
Tb3 0.0000 0.0000 0.2641 [6 per cell]
Mn1 0.0014 0.5007 0.2215 [18 per cell]
Ru1 0.0000 0.0000 0.3917 [6 per cell]
Ru2 0.0000 0.0000 0.5000 [3 per cell]
Ru3 0.0000 0.5000 0.0000 [9 per cell]

* energy above the most stable polymorph in this dataset: 0.22 eV per formula unit



(6)
Compound: TbMnRu
Source: Alexandria via LeMat-Bulk
Functional: PBE
Structure: optimized geometry

Cell: 5.322 5.356 7.431 Å, 90.00 90.00 90.00°
Space group Imma (No. 74)
One atom of each set of equivalent atoms:
Tb1 0.000 0.250 0.128 [4 per cell]
Mn1 0.250 0.250 0.750 [4 per cell]
Ru1 0.000 0.000 0.500 [4 per cell]

* energy above the most stable polymorph in this dataset: 0.00 eV per formula unit



(7)
Compound: Tb2MnRu2
Source: Alexandria via LeMat-Bulk
Functional: PBE
Structure: optimized geometry

Cell: 4.098 5.684 8.611 Å, 90.00 90.00 90.00°
Space group Immm (No. 71)
One atom of each set of equivalent atoms:
Tb1 0.000 0.000 0.206 [4 per cell]
Mn1 0.000 0.500 0.000 [2 per cell]
Ru1 0.000 0.267 0.500 [4 per cell]



(8)
Compound: Tb2MnRu
Source: Alexandria via LeMat-Bulk
Functional: PBE
Structure: optimized geometry

Cell: 3.451 3.451 7.144 Å, 90.00 90.00 90.00°
Space group P4/mmm (No. 123)
One atom of each set of equivalent atoms:
Tb1 0.000 0.000 0.234 [2 per cell]
Mn1 0.500 0.500 0.500 [1 per cell]
Ru1 0.500 0.500 0.000 [1 per cell]



DOS at the Fermi energy
In order: 1.18; 1.00; 0.38; 1.54; 1.17; 0.90; 0.89; 0.66
Unit: states/eV/atom
Energy relative to the elements
In order: 1.78; -0.14; -0.36; 1.57; -0.11; -0.18; -0.22; -0.08
Unit: eV per atom